(1)
SrSi2Sb GGA-PBE optimized geometry; energy relative to the elements, uncorrected = -0.14 eV/atom
1.0
5.040 -1.876 0.000
5.040 1.876 0.000
-2.090 0.000 5.455
Sr Si Sb
1 2 1
direct
0.000 0.000 0.000
0.244 0.244 0.637
0.756 0.756 0.363
0.500 0.500 0.500

***

(2)
Ho9Al2Tl GGA-PBE optimized geometry; formation enthalpy at 0 K = -0.187 eV per atom
1.0
4.768 0.000 0.000
0.000 4.768 0.000
0.000 0.000 14.303
Ho Al Tl
9 2 1
direct
0.000 0.000 0.000
0.000 0.000 0.336
0.000 0.000 0.664
0.000 0.500 0.173
0.000 0.500 0.500
0.000 0.500 0.827
0.500 0.000 0.173
0.500 0.000 0.500
0.500 0.000 0.827
0.500 0.500 0.335
0.500 0.500 0.665
0.500 0.500 0.000

***

(3)
ReSbIr2 GGA-PBE optimized geometry; energy relative to the elements, uncorrected = 0.17 eV/atom
1.0
2.895 0.000 0.000
0.000 2.895 0.000
0.000 0.000 7.985
Re Sb Ir
1 1 2
direct
0.000 0.000 0.000
0.000 0.000 0.500
0.500 0.500 0.220
0.500 0.500 0.780

***

(4)
MoN GGA-PBE optimized geometry; energy relative to the elements, uncorrected = 1.48 eV/atom
1.0
3.397 0.000 0.000
-1.699 2.942 0.000
0.000 0.000 4.963
Mo N
2 2
direct
0.000 0.000 0.250
0.000 0.000 0.750
0.333 0.667 0.000
0.667 0.333 0.000

***

(5)
VZnRe2W GGA-PBE optimized geometry; formation enthalpy at 0 K = 1.786 eV per atom
1.0
4.474 0.000 0.000
0.000 4.474 0.000
0.000 0.000 4.235
V Zn Re W
1 1 2 1
direct
0.000 0.000 0.000
0.000 0.000 0.500
0.000 0.500 0.500
0.500 0.000 0.500
0.500 0.500 0.000

***

(6)
TlCuNF2 GGA-PBE optimized geometry; energy relative to the elements, uncorrected = -0.24 eV/atom
1.0
4.665 0.000 0.000
0.000 4.665 0.000
0.000 0.000 3.509
Tl Cu N F
1 1 1 2
direct
0.000 0.000 0.000
0.500 0.500 0.000
0.500 0.500 0.500
0.000 0.500 0.500
0.500 0.000 0.500

***

(7)
Ni2SbRh GGA-PBE optimized geometry; energy relative to the elements, uncorrected = 0.32 eV/atom
1.0
1.486 0.858 7.909
-1.486 0.858 7.909
0.000 -1.715 7.909
Ni Sb Rh
2 1 1
direct
0.250 0.250 0.250
0.750 0.750 0.750
0.000 0.000 0.000
0.500 0.500 0.500

***

(8)
AcNdHo4 GGA-PBE optimized geometry; formation enthalpy at 0 K = 0.240 eV per atom
1.0
6.043 -4.510 0.000
6.043 4.510 0.000
-5.560 0.000 7.779
Ac Nd Ho
2 2 8
direct
0.185 0.185 0.196
0.815 0.815 0.804
0.086 0.086 0.752
0.914 0.914 0.248
0.223 0.571 0.059
0.293 0.293 0.632
0.310 0.690 0.500
0.429 0.777 0.941
0.571 0.223 0.059
0.690 0.310 0.500
0.707 0.707 0.368
0.777 0.429 0.941